1.
This record from the Alexandria database describes crystalline TmMgNb at its relaxed geometry. The functional is PBE-GGA.

E_tot: -5.272 eV per atom
symmetry: P1
DFT formation energy: 0.11 eV/atom
size of the total moment: 0.00 μB per formula unit

Cell and atoms, written as extended XYZ:
```
6
Lattice="-2.707 1.442 0.814 -3.176 -0.615 -1.543 -0.050 -15.078 6.210" Properties=species:S:1:pos:R:3 pbc="T T T"
Mg -0.630 -1.937 0.666
Tm -4.488 -13.817 5.102
Nb -2.560 -11.584 4.392
Nb -0.604 -9.874 3.823
Tm -4.558 -6.822 2.373
Mg -2.490 -4.455 1.319
```

2.
This record from the Alexandria database describes crystalline In4Os at its relaxed geometry. The functional is PBE-GGA.

E_tot: -4.286 eV per atom
symmetry: Im-3m
DFT formation energy: 0.15 eV/atom
polymorph energy (0 for the lowest one): 0.00 eV per formula unit
size of the total moment: 0.00 μB per formula unit

Cell and atoms, written as extended XYZ:
```
5
Lattice="-3.141 3.141 3.141 3.141 -3.141 3.141 3.141 3.141 -3.141" Properties=species:S:1:pos:R:3 pbc="T T T"
In 1.570 -1.570 1.570
Os 0.000 0.000 0.000
In -1.570 1.570 1.570
In 1.570 1.570 1.570
In 1.570 1.570 -1.570
```